The following is a DFT calculation (PBEsol) of MnCoCu2 after structural relaxation.

The structure in POSCAR format:
```
MnCoCu2
1.0
2.8933 0.0000 0.0000
0.0000 2.9081 0.0000
0.0000 0.0000 5.3742
Mn Co Cu
1 1 2
direct
0.0000 0.0000 0.0000 Mn
0.5000 0.5000 0.7704 Co
0.0000 0.0000 0.5124 Cu
0.5000 0.5000 0.2688 Cu
```

Calculated values
The value obtained for the magnetic moment is 4.21 μB/f.u. As for the calculated total energy: -25.54 eV for the cell shown.